Entry 1:
# Ba2Li3Hg PBE-GGA relaxed
data_Ba2Li3Hg
_cell_length_a 11.047
_cell_length_b 6.370
_cell_length_c 6.585
_cell_angle_alpha 90.00
_cell_angle_beta 124.39
_cell_angle_gamma 90.00
_symmetry_space_group_name_H-M 'C 1 2/m 1'
_symmetry_Int_Tables_number 12
_symmetry_space_group_name_Hall '-C 2y'
loop_
_atom_site_label
_atom_site_type_symbol
_atom_site_fract_x
_atom_site_fract_y
_atom_site_fract_z
_atom_site_occupancy
Ba1 Ba 0.125 0.000 0.374 1
Li1 Li 0.000 0.500 0.000 1
Li2 Li 0.250 0.250 0.000 1
Hg1 Hg 0.000 0.500 0.500 1
# Calculated total energy, eV/cell: -21.3
# Size of the total moment, μB per formula unit: 0.000
# N(E_F), states/eV/cell: 10.019
# Energy of formation, eV per atom: -0.124

Entry 2:
# Ba3LiHg2 PBE-GGA relaxed
data_Ba3LiHg2
_cell_length_a 4.262
_cell_length_b 4.262
_cell_length_c 12.829
_cell_angle_alpha 90.00
_cell_angle_beta 90.00
_cell_angle_gamma 90.00
_symmetry_space_group_name_H-M 'P 4/m m m'
_symmetry_Int_Tables_number 123
_symmetry_space_group_name_Hall '-P 4 2'
loop_
_atom_site_label
_atom_site_type_symbol
_atom_site_fract_x
_atom_site_fract_y
_atom_site_fract_z
_atom_site_occupancy
Ba1 Ba 0.000 0.000 0.000 1
Ba2 Ba 0.000 0.000 0.319 1
Li1 Li 0.500 0.500 0.500 1
Hg1 Hg 0.500 0.500 0.170 1
# Calculated total energy, eV/cell: -10.4
# Size of the total moment, μB per formula unit: 0.001
# N(E_F), states/eV/cell: 5.947
# Energy of formation, eV per atom: -0.349

Entry 3:
# BaLiMg2Hg2 PBE-GGA relaxed
data_BaLiMg2Hg2
_cell_length_a 4.9131
_cell_length_b 4.9131
_cell_length_c 7.9366
_cell_angle_alpha 90.00
_cell_angle_beta 90.00
_cell_angle_gamma 120.00
_symmetry_space_group_name_H-M 'P -3 m 1'
_symmetry_Int_Tables_number 164
_symmetry_space_group_name_Hall '-P 3 2"'
loop_
_atom_site_label
_atom_site_type_symbol
_atom_site_fract_x
_atom_site_fract_y
_atom_site_fract_z
_atom_site_occupancy
Ba1 Ba 0.0000 0.0000 0.0000 1
Li1 Li 0.0000 0.0000 0.5000 1
Mg1 Mg 0.3333 0.6667 0.6487 1
Hg1 Hg 0.3333 0.6667 0.2855 1
# Calculated total energy, eV/cell: -9.6
# Size of the total moment, μB per formula unit: 0.000
# N(E_F), states/eV/cell: 3.727
# Energy of formation, eV per atom: -0.336

Entry 4:
# BaLiMgHg PBE-GGA relaxed
data_BaLiMgHg
_cell_length_a 7.792
_cell_length_b 7.792
_cell_length_c 7.792
_cell_angle_alpha 90.00
_cell_angle_beta 90.00
_cell_angle_gamma 90.00
_symmetry_space_group_name_H-M 'F -4 3 m'
_symmetry_Int_Tables_number 216
_symmetry_space_group_name_Hall 'F -4 2 3'
loop_
_atom_site_label
_atom_site_type_symbol
_atom_site_fract_x
_atom_site_fract_y
_atom_site_fract_z
_atom_site_occupancy
Ba1 Ba 0.000 0.000 0.000 1
Li1 Li 0.250 0.250 0.750 1
Mg1 Mg 0.000 0.000 0.500 1
Hg1 Hg 0.250 0.250 0.250 1
# Calculated total energy, eV/cell: -25.8
# Size of the total moment, μB per formula unit: 0.318
# N(E_F), states/eV/cell: 22.489
# Distance to the lowest polymorph of the same formula, eV/f.u.: 0.33
# Energy of formation, eV per atom: -0.179